# 1
Y2TlPb, optimized geometry, DFT PBEsol; N(E_F) = 3.748 states/eV/f.u.; volume = 107.1 Å³ per cell; energy = -5.56 eV per atom
1.0
-2.464 -2.513 2.714
3.107 -3.176 -0.120
2.127 5.078 2.993
Tl Y Pb
1 2 1
Direct
0.250 0.750 0.500
0.750 0.250 0.500
0.000 0.000 0.000
0.500 0.500 0.000

---

# 2
Li3VF6, optimized geometry, DFT PBEsol; N(E_F) = 10.736 states/eV/f.u.; volume = 401.7 Å³ per cell; energy = -5.64 eV per atom; polymorph energy (0 for the lowest one) = 0 kJ/mol of formula units
1.0
5.005 0.000 0.000
0.000 8.410 0.000
0.000 0.000 9.543
Li F V
12 24 4
Direct
0.004 0.054 0.397
0.494 0.639 0.375
0.004 0.446 0.897
0.994 0.361 0.625
0.999 0.449 0.352
0.994 0.139 0.125
0.499 0.551 0.648
0.504 0.946 0.603
0.499 0.949 0.148
0.999 0.051 0.852
0.504 0.554 0.103
0.494 0.861 0.875
0.854 0.940 0.231
0.179 0.582 0.509
0.670 0.745 0.523
0.155 0.592 0.022
0.354 0.440 0.269
0.655 0.408 0.978
0.822 0.266 0.260
0.354 0.060 0.769
0.679 0.418 0.491
0.155 0.908 0.522
0.322 0.734 0.740
0.316 0.390 0.750
0.170 0.245 0.977
0.822 0.234 0.760
0.816 0.610 0.250
0.670 0.755 0.023
0.170 0.255 0.477
0.322 0.766 0.240
0.854 0.560 0.731
0.679 0.082 0.991
0.655 0.092 0.478
0.816 0.890 0.750
0.316 0.110 0.250
0.179 0.918 0.009
0.500 0.260 0.371
0.000 0.760 0.129
0.500 0.240 0.871
0.000 0.740 0.629

---

# 3
Li3Ag3Sn2, optimized geometry, DFT PBEsol; N(E_F) = 2.286 states/eV/f.u.; volume = 138.0 Å³ per cell; energy = -3.34 eV per atom
1.0
-1.300 -4.241 1.228
2.991 -2.811 2.083
-1.643 0.265 7.803
Ag Li Sn
3 3 2
Direct
0.376 0.376 0.872
0.501 0.501 0.498
0.999 0.999 0.003
0.748 0.748 0.756
0.252 0.252 0.244
0.874 0.874 0.378
0.624 0.624 0.128
0.126 0.126 0.622

---

# 4
ZrReS2, optimized geometry, DFT PBEsol; N(E_F) = 5.618 states/eV/f.u.; volume = 57.8 Å³ per cell; energy = -8.24 eV per atom
1.0
4.340 0.000 0.000
2.170 3.759 0.000
2.170 1.253 3.544
Zr S Re
1 2 1
Direct
0.000 0.000 0.000
0.750 0.750 0.750
0.250 0.250 0.250
0.500 0.500 0.500

---

# 5
CrCuCl, optimized geometry, DFT PBEsol; N(E_F) = 2.931 states/eV/f.u.; volume = 47.7 Å³ per cell; energy = -5.27 eV per atom; polymorph energy (0 for the lowest one) = 0 kJ/mol of formula units
1.0
-2.225 0.903 -2.063
-0.819 -0.873 2.931
0.537 5.199 1.698
Cl Cu Cr
1 1 1
Direct
0.000 0.000 0.974
0.667 0.333 0.355
0.333 0.667 0.671

---

# 6
NdIn3Pt, optimized geometry, DFT PBEsol; N(E_F) = 1.651 states/eV/f.u.; volume = 910.5 Å³ per cell; energy = -4.85 eV per atom
1.0
-8.037 -0.968 -5.329
-3.687 -6.008 6.652
-3.968 7.543 4.614
Nd Pt In
8 8 24
Direct
0.500 0.500 0.500
0.000 0.500 0.750
0.000 0.500 0.250
0.250 0.000 0.500
0.750 0.000 0.500
0.500 0.750 0.000
0.000 0.000 0.000
0.500 0.250 0.000
0.250 0.250 0.250
0.750 0.750 0.250
0.750 0.250 0.750
0.250 0.250 0.750
0.750 0.250 0.250
0.750 0.750 0.750
0.250 0.750 0.750
0.250 0.750 0.250
0.500 0.819 0.652
0.681 0.000 0.152
0.181 0.652 0.500
0.152 0.681 0.000
0.181 0.348 0.500
0.681 0.000 0.848
0.500 0.181 0.348
0.652 0.500 0.181
0.000 0.152 0.681
0.319 0.000 0.152
0.348 0.500 0.819
0.000 0.848 0.319
0.500 0.819 0.348
0.500 0.181 0.652
0.848 0.681 0.000
0.819 0.652 0.500
0.848 0.319 0.000
0.652 0.500 0.819
0.000 0.152 0.319
0.348 0.500 0.181
0.319 0.000 0.848
0.000 0.848 0.681
0.152 0.319 0.000
0.819 0.348 0.500

---

# 7
BaZnSeN2, optimized geometry, DFT PBEsol; N(E_F) = 2.849 states/eV/f.u.; volume = 93.9 Å³ per cell; energy = -4.40 eV per atom
1.0
4.376 0.000 0.000
0.000 4.376 0.000
0.000 0.000 4.906
N Ba Zn Se
2 1 1 1
Direct
0.500 0.000 0.000
0.000 0.500 0.000
0.500 0.500 0.500
0.000 0.000 0.000
0.000 0.000 0.500

---

# 8
Y3PPt, optimized geometry, DFT PBEsol; N(E_F) = 9.001 states/eV/f.u.; volume = 131.9 Å³ per cell; energy = -7.09 eV per atom
1.0
-1.932 2.779 3.802
-1.354 -4.264 2.428
4.511 -0.090 2.358
Pt P Y
1 1 3
Direct
0.500 0.500 0.500
0.000 0.000 0.000
0.000 0.500 0.000
0.500 0.000 0.000
0.000 0.000 0.500

---

# 9
MgBrCl2, optimized geometry, DFT PBEsol; N(E_F) = 2.162 states/eV/f.u.; volume = 203.2 Å³ per cell; energy = -2.90 eV per atom; polymorph energy (0 for the lowest one) = 70 kJ/mol of formula units
1.0
-1.054 -6.348 1.594
2.956 -0.713 -5.890
2.468 2.282 5.714
Cl Br Mg
4 2 2
Direct
0.868 0.493 0.125
0.132 0.257 0.625
0.368 0.875 0.743
0.632 0.375 0.507
0.000 0.000 0.000
0.500 0.750 0.250
0.000 0.500 0.500
0.500 0.250 0.750

---

# 10
CdAgIrC2, optimized geometry, DFT PBEsol; N(E_F) = 2.346 states/eV/f.u.; volume = 81.8 Å³ per cell; energy = -5.49 eV per atom
1.0
3.882 0.000 0.000
0.000 3.882 0.000
0.000 0.000 5.430
Ag Ir Cd C
1 1 1 2
Direct
0.000 0.000 0.500
0.000 0.000 0.000
0.500 0.500 0.500
0.500 0.000 0.000
0.000 0.500 0.000

---

# 11
BeCdW2, optimized geometry, DFT PBEsol; N(E_F) = 1.582 states/eV/f.u.; volume = 60.1 Å³ per cell; energy = -7.62 eV per atom; polymorph energy (0 for the lowest one) = 51 kJ/mol of formula units
1.0
3.738 0.000 0.000
0.000 3.738 0.000
0.000 0.000 4.303
Be W Cd
1 2 1
Direct
0.500 0.500 0.500
0.000 0.500 0.000
0.500 0.000 0.000
0.000 0.000 0.500

---

# 12
LiZr2PN, optimized geometry, DFT PBEsol; N(E_F) = 4.142 states/eV/f.u.; volume = 90.9 Å³ per cell; energy = -6.37 eV per atom
1.0
-1.725 -0.162 3.522
-4.273 -0.624 -2.122
0.648 -4.767 0.098
Zr Li N P
2 1 1 1
Direct
0.000 0.000 0.500
0.000 0.500 0.000
0.500 0.000 0.000
0.500 0.500 0.500
0.000 0.000 0.000

---

# 13
Ca2Mg, optimized geometry, DFT PBEsol; N(E_F) = 3.070 states/eV/f.u.; volume = 201.9 Å³ per cell; energy = -2.03 eV per atom
1.0
5.764 0.001 0.001
-2.882 4.934 0.696
-0.002 -0.968 6.963
Ca Mg
4 2
Direct
0.361 0.722 0.222
0.695 0.389 0.435
0.361 0.722 0.722
0.027 0.055 0.009
0.028 0.057 0.511
0.694 0.388 0.934

---

# 14
LaAsSe2S, optimized geometry, DFT PBEsol; N(E_F) = 2.430 states/eV/f.u.; volume = 114.3 Å³ per cell; energy = -5.05 eV per atom
1.0
4.718 0.000 0.000
0.000 4.922 0.000
0.000 0.000 4.922
As La Se S
1 1 2 1
Direct
0.500 0.000 0.000
0.500 0.500 0.500
0.000 0.000 0.500
0.000 0.500 0.000
0.000 0.000 0.000

---

# 15
TcRuI2, optimized geometry, DFT PBEsol; N(E_F) = 4.901 states/eV/f.u.; volume = 73.3 Å³ per cell; energy = -5.20 eV per atom
1.0
4.697 0.000 0.000
2.349 4.068 0.000
2.349 1.356 3.835
I Tc Ru
2 1 1
Direct
0.250 0.250 0.250
0.750 0.750 0.750
0.000 0.000 0.000
0.500 0.500 0.500

---

# 16
Ta2AgRu, optimized geometry, DFT PBEsol; N(E_F) = 3.130 states/eV/f.u.; volume = 64.6 Å³ per cell; energy = -9.46 eV per atom; polymorph energy (0 for the lowest one) = 49 kJ/mol of formula units
1.0
3.914 0.000 0.000
0.000 3.914 0.000
-1.957 -1.957 4.215
Ta Ag Ru
2 1 1
Direct
0.750 0.250 0.500
0.000 0.000 0.000
0.500 0.500 0.000
0.250 0.750 0.500

---

# 17
KTaAs2, optimized geometry, DFT PBEsol; N(E_F) = 1.778 states/eV/f.u.; volume = 92.5 Å³ per cell; energy = -6.24 eV per atom; polymorph energy (0 for the lowest one) = 0 kJ/mol of formula units
1.0
3.320 0.000 0.000
0.000 3.436 0.000
-1.660 -1.718 8.106
As K Ta
2 1 1
Direct
0.919 0.919 0.839
0.728 0.228 0.456
0.554 0.554 0.109
0.298 0.798 0.597

---

# 18
Zn2Ag, optimized geometry, DFT PBEsol; N(E_F) = 0.968 states/eV/f.u.; volume = 135.2 Å³ per cell; energy = -2.17 eV per atom
1.0
2.800 0.000 0.000
0.000 7.468 0.000
0.000 -3.734 6.467
Ag Zn
3 6
Direct
0.000 0.667 0.333
0.500 0.000 0.000
0.000 0.333 0.667
0.500 0.000 0.636
0.000 0.303 0.000
0.000 0.697 0.697
0.500 0.364 0.364
0.000 0.000 0.303
0.500 0.636 0.000

---

# 19
Na3SmTi2Nb2O12, optimized geometry, DFT PBEsol; N(E_F) = 0.000 states/eV/f.u.; volume = 231.9 Å³ per cell; energy = -8.27 eV per atom
1.0
-3.308 -2.578 -3.443
4.072 -3.469 -1.371
-2.175 -4.797 5.671
Sm O Na Ti Nb
1 12 3 2 2
Direct
0.992 0.946 0.250
0.928 0.502 0.746
0.720 0.729 0.450
0.070 0.522 0.252
0.203 0.806 0.981
0.198 0.804 0.520
0.796 0.210 0.043
0.298 0.296 0.962
0.717 0.731 0.049
0.417 0.030 0.247
0.799 0.214 0.457
0.291 0.303 0.535
0.561 0.981 0.754
0.996 0.002 0.752
0.510 0.463 0.250
0.501 0.519 0.748
0.007 0.481 0.497
0.494 0.985 0.006
0.006 0.482 0.989
0.496 0.993 0.511

---

# 20
TiCrSbI2, optimized geometry, DFT PBEsol; N(E_F) = 3.536 states/eV/f.u.; volume = 152.9 Å³ per cell; energy = -4.84 eV per atom
1.0
5.310 0.000 0.000
0.000 5.310 0.000
0.000 0.000 5.424
Ti I Sb Cr
1 2 1 1
Direct
0.000 0.000 0.000
0.500 0.000 0.000
0.000 0.500 0.000
0.000 0.000 0.500
0.500 0.500 0.500

---

# 21
FeCoAg2, optimized geometry, DFT PBEsol; N(E_F) = 3.495 states/eV/f.u.; volume = 55.4 Å³ per cell; energy = -5.41 eV per atom
1.0
2.685 0.000 0.000
0.000 4.605 -0.014
-1.343 -0.797 4.486
Ag Fe Co
2 1 1
Direct
0.248 0.249 0.496
0.752 0.751 0.504
0.000 0.500 0.000
0.500 0.000 0.000

---

# 22
La3Mg, optimized geometry, DFT PBEsol; N(E_F) = 5.708 states/eV/f.u.; volume = 127.4 Å³ per cell; energy = -4.46 eV per atom
1.0
-1.884 -3.116 0.058
3.307 -1.911 4.781
-4.506 4.873 1.148
Mg La
1 3
Direct
0.000 0.664 0.000
0.265 0.276 0.530
0.735 0.747 0.470
0.500 0.146 0.000

---

# 23
Zr3Ta2, optimized geometry, DFT PBEsol; N(E_F) = 6.886 states/eV/f.u.; volume = 101.4 Å³ per cell; energy = -10.26 eV per atom
1.0
-0.804 -2.637 1.285
-0.393 -2.474 -1.725
11.802 -4.691 1.359
Ta Zr
2 3
Direct
0.601 0.601 0.197
0.399 0.399 0.803
0.202 0.202 0.394
0.798 0.798 0.606
0.000 0.000 0.000

---

# 24
Be4RuRh, optimized geometry, DFT PBEsol; N(E_F) = 4.436 states/eV/f.u.; volume = 56.3 Å³ per cell; energy = -6.09 eV per atom
1.0
4.301 0.000 0.000
2.151 3.725 0.000
2.151 1.242 3.512
Be Ru Rh
4 1 1
Direct
0.123 0.626 0.626
0.626 0.123 0.626
0.626 0.626 0.626
0.626 0.626 0.123
0.000 0.000 0.000
0.250 0.250 0.250